[1]
# PBE Si2BAu, relaxed
# theoretical density	6.7	g/cm³
# DFT total energy	-4.990	eV/atom
# D(E_F)	0.208	states/eV/atom
# energy relative to the elements, uncorrected	0.2102	eV/atom
data_Si2BAu
_space_group_name_H-M_alt 'I -4 2 d'
_space_group_IT_number 122
_space_group_name_Hall 'I -4 2bw'
_cell_length_a 5.4337
_cell_length_b 5.4337
_cell_length_c 8.9250
_cell_angle_alpha 90.00
_cell_angle_beta 90.00
_cell_angle_gamma 90.00
loop_
_atom_site_label
_atom_site_type_symbol
_atom_site_fract_x
_atom_site_fract_y
_atom_site_fract_z
Si1 Si 0.1740 0.2500 0.1250
B1 B 0.0000 0.0000 0.0000
Au1 Au 0.0000 0.0000 0.5000

---

[2]
# PBE Si3BAu, relaxed
# theoretical density	4.3	g/cm³
# DFT total energy	-3.439	eV/atom
# D(E_F)	0.522	states/eV/atom
# energy relative to the elements, uncorrected	1.8053	eV/atom
data_Si3BAu
_space_group_name_H-M_alt 'P m -3 m'
_space_group_IT_number 221
_space_group_name_Hall '-P 4 2 3'
_cell_length_a 4.8251
_cell_length_b 4.8251
_cell_length_c 4.8251
_cell_angle_alpha 90.00
_cell_angle_beta 90.00
_cell_angle_gamma 90.00
loop_
_atom_site_label
_atom_site_type_symbol
_atom_site_fract_x
_atom_site_fract_y
_atom_site_fract_z
Si1 Si 0.0000 0.0000 0.5000
B1 B 0.5000 0.5000 0.5000
Au1 Au 0.0000 0.0000 0.0000

---

[3]
# PBE SiB3Au, relaxed
# theoretical density	5.7	g/cm³
# DFT total energy	-3.790	eV/atom
# D(E_F)	0.757	states/eV/atom
# energy relative to the elements, uncorrected	1.9567	eV/atom
data_SiB3Au
_space_group_name_H-M_alt 'P m -3 m'
_space_group_IT_number 221
_space_group_name_Hall '-P 4 2 3'
_cell_length_a 4.2077
_cell_length_b 4.2077
_cell_length_c 4.2077
_cell_angle_alpha 90.00
_cell_angle_beta 90.00
_cell_angle_gamma 90.00
loop_
_atom_site_label
_atom_site_type_symbol
_atom_site_fract_x
_atom_site_fract_y
_atom_site_fract_z
Si1 Si 0.0000 0.0000 0.0000
B1 B 0.0000 0.5000 0.5000
Au1 Au 0.5000 0.5000 0.5000

---

Question: Which formula does entry 3 have?
Answer: SiB3Au